Model w:
MgCu2Au4: relaxed, GGA-PBE.

Lattice parameters (Å, degrees): 8.6159 6.6280 5.5827 90.00 129.62 90.00
Space group C2/m (No. 12)
Symmetry-distinct sites (fractional):
Mg (0.0000, 0.0000, 0.0000) (multiplicity 2)
Cu (0.0000, 0.5000, 0.0000) (multiplicity 2)
Cu (0.0000, 0.5000, 0.5000) (multiplicity 2)
Au (0.2500, 0.2500, 0.0000) (multiplicity 4)
Au (0.2500, 0.2500, 0.5000) (multiplicity 4)


Model x:
MgCu2Au4: relaxed, GGA-PBE.

Lattice parameters (Å, degrees): 4.9027 5.5783 6.0568 62.97 66.54 89.26
Space group P-1 (No. 2)
Symmetry-distinct sites (fractional):
Mg (0.0000, 0.0000, 0.0000) (multiplicity 1)
Cu (0.2277, 0.6166, 0.7679) (multiplicity 2)
Au (0.0000, 0.0000, 0.5000) (multiplicity 1)
Au (0.0000, 0.5000, 0.5000) (multiplicity 1)
Au (0.4992, 0.2471, 0.0005) (multiplicity 2)


Energy above the most stable structure, in kJ/mol of atoms: model w 0.0; model x 13.4